## CeBiW2O9 (PBE with a Hubbard U)

Data for CeBiW2O9 after structural relaxation.

abc: 7.223 7.223 13.804
angles: 99.33 99.33 87.60
Positions (direct):
Ce  0.124  0.169  0.119
Ce  0.169  0.124  0.619
Ce  0.831  0.876  0.381
Ce  0.876  0.831  0.881
Bi  0.343  0.523  0.864
Bi  0.477  0.657  0.636
Bi  0.523  0.343  0.364
Bi  0.657  0.477  0.136
W  0.009  0.585  0.618
W  0.169  0.694  0.134
W  0.306  0.831  0.366
W  0.415  0.991  0.882
W  0.585  0.009  0.118
W  0.694  0.169  0.634
W  0.831  0.306  0.866
W  0.991  0.415  0.382
O  0.000  0.493  0.863
O  0.000  0.507  0.137
O  0.010  0.834  0.049
O  0.084  0.651  0.369
O  0.113  0.887  0.250
O  0.137  0.286  0.297
O  0.145  0.395  0.504
O  0.166  0.990  0.451
O  0.183  0.784  0.618
O  0.216  0.817  0.882
O  0.248  0.482  0.694
O  0.286  0.137  0.797
O  0.316  0.550  0.049
O  0.349  0.916  0.131
O  0.362  0.638  0.250
O  0.395  0.145  0.004
O  0.450  0.684  0.451
O  0.482  0.248  0.194
O  0.493  0.000  0.363
O  0.507  0.000  0.637
O  0.518  0.752  0.806
O  0.550  0.316  0.549
O  0.605  0.855  0.996
O  0.638  0.362  0.750
O  0.651  0.084  0.869
O  0.684  0.450  0.951
O  0.714  0.863  0.203
O  0.752  0.518  0.306
O  0.784  0.183  0.118
O  0.817  0.216  0.382
O  0.834  0.010  0.549
O  0.855  0.605  0.496
O  0.863  0.714  0.703
O  0.887  0.113  0.750
O  0.916  0.349  0.631
O  0.990  0.166  0.951

Values from the calculation:
**M_tot**: 4.03 μB/cell
**Energy**: -7.4541 eV/atom